Entry 1:
Nb3TcSe after structural relaxation, computed with PBE.

Lattice parameters (Å, degrees): 4.675 4.675 4.675 90.00 90.00 90.00
Element x y z (fractional)
Se1 0.000 0.000 0.000
Nb1 0.500 0.000 0.000
Nb2 0.000 0.000 0.500
Tc1 0.500 0.500 0.500
Nb3 0.000 0.500 0.000

Summary:
* D(E_F): 8.9 states/eV/cell
* uncorrected energy: -7.85 eV/atom
* E_form (uncorrected): 0.9610 eV/atom



Entry 2:
Nb2TcSe6 after structural relaxation, computed with PBE.

Lattice parameters (Å, degrees): 6.259 6.381 9.227 90.00 84.22 90.00
Element x y z (fractional)
Se1 0.179 0.352 0.435
Se2 0.837 0.984 0.263
Se3 0.679 0.148 0.935
Nb1 0.930 0.358 0.757
Se4 0.821 0.648 0.565
Nb2 0.430 0.142 0.257
Tc1 0.000 0.000 0.500
Se5 0.663 0.484 0.237
Se6 0.337 0.516 0.763
Se7 0.650 0.189 0.584
Se8 0.150 0.311 0.084
Nb3 0.070 0.642 0.243
Tc2 0.500 0.500 0.000
Nb4 0.570 0.858 0.743
Se9 0.163 0.016 0.737
Se10 0.850 0.689 0.916
Se11 0.321 0.852 0.065
Se12 0.350 0.811 0.416

Summary:
* D(E_F): 10.7 states/eV/cell
* uncorrected energy: -6.16 eV/atom
* E_form (uncorrected): -0.4438 eV/atom



Entry 3:
NbTcSe2 after structural relaxation, computed with PBE.

Lattice parameters (Å, degrees): 8.726 8.726 8.726 20.98 20.98 20.98
Element x y z (fractional)
Se1 0.094 0.094 0.094
Se2 0.906 0.906 0.906
Tc1 0.000 0.000 0.000
Nb1 0.500 0.500 0.500

Summary:
* D(E_F): 4.0 states/eV/cell
* uncorrected energy: -6.89 eV/atom
* E_form (uncorrected): -0.0364 eV/atom



Entry 4:
NbTcSe3 after structural relaxation, computed with PBE.

Lattice parameters (Å, degrees): 3.441 6.528 11.609 118.52 90.00 90.00
Element x y z (fractional)
Nb1 0.250 0.094 0.124
Se1 0.250 0.991 0.340
Se2 0.750 0.009 0.660
Se3 0.250 0.245 0.956
Tc1 0.750 0.827 0.419
Nb2 0.750 0.906 0.876
Tc2 0.250 0.173 0.581
Se4 0.750 0.421 0.267
Se5 0.750 0.755 0.044
Se6 0.250 0.579 0.733

Summary:
* D(E_F): 4.7 states/eV/cell
* uncorrected energy: -6.64 eV/atom
* E_form (uncorrected): -0.4597 eV/atom



Entry 5:
NbTcSe3 after structural relaxation, computed with PBE.

Lattice parameters (Å, degrees): 5.040 5.040 5.040 90.00 90.00 90.00
Element x y z (fractional)
Se1 0.000 0.000 0.500
Nb1 0.000 0.000 0.000
Se2 0.000 0.500 0.000
Tc1 0.500 0.500 0.500
Se3 0.500 0.000 0.000

Summary:
* D(E_F): 4.0 states/eV/cell
* uncorrected energy: -5.61 eV/atom
* E_form (uncorrected): 0.5721 eV/atom



Entry 6:
NbTcSe after structural relaxation, computed with PBE.

Lattice parameters (Å, degrees): 3.870 3.870 10.464 79.34 79.34 60.00
Element x y z (fractional)
Se1 0.280 0.280 0.159
Tc1 0.845 0.845 0.465
Tc2 0.155 0.155 0.535
Nb1 0.436 0.436 0.692
Nb2 0.564 0.564 0.308
Se2 0.720 0.720 0.841

Summary:
* D(E_F): 2.8 states/eV/cell
* uncorrected energy: -7.96 eV/atom
* E_form (uncorrected): 0.0179 eV/atom